[1]
Below is crystalline LuAuSeO at its relaxed geometry, with properties calculated at the PBE level.

```
data_LuAuSeO
_space_group_name_H-M_alt 'P -4 2 m'
_space_group_IT_number 111
_space_group_name_Hall 'P -4 2'
_cell_length_a 5.481
_cell_length_b 5.481
_cell_length_c 9.490
_cell_angle_alpha 90.00
_cell_angle_beta 90.00
_cell_angle_gamma 90.00
loop_
_atom_site_label
_atom_site_fract_x
_atom_site_fract_y
_atom_site_fract_z
Lu1 0.250 0.250 0.112
Au1 0.000 0.000 0.500
Au2 0.000 0.500 0.500
Au3 0.500 0.500 0.500
Se1 0.249 0.249 0.722
O1 0.000 0.000 0.000
O2 0.000 0.500 0.000
O3 0.500 0.500 0.000
```

***

[2]
Below is crystalline LuAuSeO at its relaxed geometry, with properties calculated at the PBE level.

```
data_LuAuSeO
_space_group_name_H-M_alt 'P 1 21/c 1'
_space_group_IT_number 14
_space_group_name_Hall '-P 2ybc'
_cell_length_a 7.373
_cell_length_b 6.117
_cell_length_c 6.024
_cell_angle_alpha 90.00
_cell_angle_beta 90.13
_cell_angle_gamma 90.00
loop_
_atom_site_label
_atom_site_fract_x
_atom_site_fract_y
_atom_site_fract_z
Lu1 0.095 0.003 0.251
Au1 0.409 0.205 0.981
Se1 0.304 0.556 0.188
O1 0.003 0.239 0.001
```

***

[3]
Below is crystalline LuAuSeO at its relaxed geometry, with properties calculated at the PBE level.

```
data_LuAuSeO
_space_group_name_H-M_alt 'P 4 m m'
_space_group_IT_number 99
_space_group_name_Hall 'P 4 -2'
_cell_length_a 5.480
_cell_length_b 5.480
_cell_length_c 9.497
_cell_angle_alpha 90.00
_cell_angle_beta 90.00
_cell_angle_gamma 90.00
loop_
_atom_site_label
_atom_site_fract_x
_atom_site_fract_y
_atom_site_fract_z
Lu1 0.000 0.000 0.000
Lu2 0.000 0.500 0.776
Lu3 0.500 0.500 0.999
Au1 0.250 0.250 0.387
Se1 0.000 0.000 0.608
Se2 0.000 0.500 0.165
Se3 0.500 0.500 0.611
O1 0.250 0.250 0.888
```

***

[4]
Below is crystalline LuAuSeO at its relaxed geometry, with properties calculated at the PBE level.

```
data_LuAuSeO
_space_group_name_H-M_alt 'P b a 2'
_space_group_IT_number 32
_space_group_name_Hall 'P 2 -2ab'
_cell_length_a 5.391
_cell_length_b 5.527
_cell_length_c 9.634
_cell_angle_alpha 90.00
_cell_angle_beta 90.00
_cell_angle_gamma 90.00
loop_
_atom_site_label
_atom_site_fract_x
_atom_site_fract_y
_atom_site_fract_z
Lu1 0.000 0.000 0.000
Lu2 0.000 0.500 0.221
Au1 0.249 0.406 0.611
Se1 0.000 0.000 0.387
Se2 0.000 0.500 0.836
O1 0.250 0.252 0.111
```

***

[5]
Below is crystalline LuAuSeO at its relaxed geometry, with properties calculated at the PBE level.

```
data_LuAuSeO
_space_group_name_H-M_alt 'A e m 2'
_space_group_IT_number 39
_space_group_name_Hall 'A 2 -2b'
_cell_length_a 9.609
_cell_length_b 5.511
_cell_length_c 5.524
_cell_angle_alpha 90.00
_cell_angle_beta 90.00
_cell_angle_gamma 90.00
loop_
_atom_site_label
_atom_site_fract_x
_atom_site_fract_y
_atom_site_fract_z
Lu1 0.109 0.250 0.000
Au1 0.500 0.000 0.001
Se1 0.275 0.250 0.501
O1 0.000 0.000 0.250
```

***

[6]
Below is crystalline LuAuSeO at its relaxed geometry, with properties calculated at the PBE level.

```
data_LuAuSeO
_space_group_name_H-M_alt 'P m c 21'
_space_group_IT_number 26
_space_group_name_Hall 'P 2c -2'
_cell_length_a 4.176
_cell_length_b 6.495
_cell_length_c 6.374
_cell_angle_alpha 90.00
_cell_angle_beta 90.00
_cell_angle_gamma 90.00
loop_
_atom_site_label
_atom_site_fract_x
_atom_site_fract_y
_atom_site_fract_z
Lu1 0.000 0.176 0.000
Au1 0.500 0.280 0.640
Se1 0.500 0.344 0.229
O1 0.000 0.075 0.692
```

***

[7]
Below is crystalline SrLuAuO3 at its relaxed geometry, with properties calculated at the PBE level.

```
data_SrLuAuO3
_space_group_name_H-M_alt 'C m c m'
_space_group_IT_number 63
_space_group_name_Hall '-C 2c 2'
_cell_length_a 3.563
_cell_length_b 12.948
_cell_length_c 8.548
_cell_angle_alpha 90.00
_cell_angle_beta 90.00
_cell_angle_gamma 90.00
loop_
_atom_site_label
_atom_site_fract_x
_atom_site_fract_y
_atom_site_fract_z
Sr1 0.000 0.178 0.250
Lu1 0.000 0.500 0.000
Au1 0.000 0.121 0.750
O1 0.000 0.110 0.514
O2 0.000 0.446 0.750
```

***

[8]
Below is crystalline LuPb2Au at its relaxed geometry, with properties calculated at the PBE level.

```
data_LuPb2Au
_space_group_name_H-M_alt 'F -4 3 m'
_space_group_IT_number 216
_space_group_name_Hall 'F -4 2 3'
_cell_length_a 7.449
_cell_length_b 7.449
_cell_length_c 7.449
_cell_angle_alpha 90.00
_cell_angle_beta 90.00
_cell_angle_gamma 90.00
loop_
_atom_site_label
_atom_site_fract_x
_atom_site_fract_y
_atom_site_fract_z
Lu1 0.000 0.000 0.000
Pb1 0.000 0.000 0.500
Pb2 0.250 0.250 0.750
Au1 0.250 0.250 0.250
```

***

The total DFT energy (no corrections) results, record by record, are as follows: -5.8740 -5.7295 -5.8740 -5.9439 -5.9504 -5.5060 -6.4168 -4.0107 eV per atom.